This record from the Alexandria database describes a geometry-optimized PuInRh4 structure. The functional is PBE.

Summary:
- density (Mg/m³) = 12.22
- polymorph energy (0 for the lowest one) (meV/atom) = 0
- energy relative to the elements (eV/atom) = -0.35
- total magnetization (μB per cell) = 4.08
- final energy (Ry/atom) = -0.595
- Fermi-level density of states (states/eV per atom) = 2.004

abc: 5.2898 5.2898 5.2898
angles: 60.00 60.00 60.00
Last column: nearest neighbours and their distance in Å.
Fractional coordinates of all 6 atoms:
Rh 0.6257 0.1230 0.6257  6 Rh 2.63-2.66
Rh 0.6257 0.6257 0.1230  6 Rh 2.63-2.66
Rh 0.1230 0.6257 0.6257  6 Rh 2.63-2.66
Rh 0.6257 0.6257 0.6257  6 Rh 2.63-2.66
In 0.0000 0.0000 0.0000  12 Rh 3.10, 4 Pu 3.24
Pu 0.2500 0.2500 0.2500  12 Rh 3.10, 4 In 3.24